1.
Density functional theory data (PBE with a Hubbard U) for an optimized crystal structure of MnCu2IrO8.

abc: 5.5525 5.5525 5.5525
angles: 111.27 111.27 105.92
Last column: nearest neighbours and their distance in Å.
Positions (direct):
Mn 0.2500 0.7500 0.5000  4 O 2.03
Cu 0.7500 0.2500 0.5000  4 O 1.85
Cu 0.5000 0.5000 0.0000  4 O 1.88
Ir 0.0000 0.0000 0.0000  8 O 1.94-2.14
O 0.3472 0.0408 0.3064  1 Cu 1.85, 1 Ir 1.94
O 0.2729 0.4497 0.1768  1 Cu 1.88, 1 Mn 2.03
O 0.2729 0.0961 0.8232  1 Cu 1.88, 1 Mn 2.03
O 0.7343 0.0408 0.6936  1 Cu 1.85, 1 Ir 1.94
O 0.9039 0.7271 0.1768  1 Cu 1.88, 1 Mn 2.03
O 0.9592 0.2657 0.3064  1 Cu 1.85, 1 Ir 1.94
O 0.9592 0.6528 0.6936  1 Cu 1.85, 1 Ir 1.94
O 0.5503 0.7271 0.8232  1 Cu 1.88, 1 Mn 2.03

D(E_F): 0.7255 states/eV per atom
Final energy: -68.5 eV for the cell shown
V: 10.95 A^3/atom

---

2.
Density functional theory data (PBE with a Hubbard U) for an optimized crystal structure of MnCu2IrO6.

abc: 5.3115 5.2434 5.5666
angles: 87.01 119.76 122.64
Last column: nearest neighbours and their distance in Å.
Positions (direct):
Mn 0.9966 0.4978 0.4797  4 O 2.01-2.02
Cu 0.5444 0.7769 0.2798  3 O 1.88-1.91
Cu 0.4538 0.2206 0.6875  3 O 1.88-1.91
Ir 0.9967 0.9978 0.9803  6 O 1.93-1.98
O 0.5072 0.8870 0.7313  1 Cu 1.90, 1 Ir 1.97, 1 Mn 2.01
O 0.4853 0.1082 0.2284  1 Cu 1.91, 1 Ir 1.97, 1 Mn 2.01
O 0.8804 0.7681 0.2443  1 Cu 1.91, 1 Ir 1.98, 1 Mn 2.01
O 0.1481 0.3734 0.2133  1 Cu 1.88, 1 Ir 1.93
O 0.8425 0.6227 0.7441  1 Cu 1.88, 1 Ir 1.93
O 0.1107 0.2252 0.7139  1 Cu 1.91, 1 Ir 1.98, 1 Mn 2.02

D(E_F): 0.6469 states/eV per atom
Final energy: -61.9 eV for the cell shown
V: 10.83 A^3/atom

---

3.
Density functional theory data (PBE with a Hubbard U) for an optimized crystal structure of MnCuIrO4.

abc: 5.8557 6.2749 6.2445
angles: 119.84 90.00 117.81
Last column: nearest neighbours and their distance in Å.
Positions (direct):
Mn 0.8386 0.6771 0.0886  4 O 2.05-2.11
Mn 0.1614 0.3229 0.9114  4 O 2.05-2.11
Cu 0.5000 0.5000 0.5000  4 O 1.99
Cu 0.0000 0.5000 0.5000  4 O 1.99
Ir 0.5000 0.0000 0.5000  6 O 2.03
Ir 0.5000 0.0000 0.0000  6 O 2.03
O 0.7198 0.4396 0.6813  2 Cu 1.99, 1 Ir 2.03, 1 Mn 2.11
O 0.2538 0.9426 0.2213  2 Ir 2.03, 1 Mn 2.05
O 0.6889 0.9426 0.2213  2 Ir 2.03, 1 Mn 2.05
O 0.7198 0.4396 0.2583  2 Cu 1.99, 1 Ir 2.03, 1 Mn 2.11
O 0.2802 0.5604 0.7417  2 Cu 1.99, 1 Ir 2.03, 1 Mn 2.11
O 0.7462 0.0574 0.7787  2 Ir 2.03, 1 Mn 2.05
O 0.3111 0.0574 0.7787  2 Ir 2.03, 1 Mn 2.05
O 0.2802 0.5604 0.3187  2 Cu 1.99, 1 Ir 2.03, 1 Mn 2.11

D(E_F): 0.4588 states/eV per atom
Final energy: -93.4 eV for the cell shown
V: 11.98 A^3/atom

---

4.
Density functional theory data (PBE with a Hubbard U) for an optimized crystal structure of Mn2CuIrO6.

abc: 5.1763 5.1760 5.5815
angles: 62.36 62.35 59.99
Last column: nearest neighbours and their distance in Å.
Positions (direct):
Mn 0.5232 0.5232 0.4304  6 O 2.06-2.22
Mn 0.0096 0.0096 0.9713  6 O 2.02-2.03
Cu 0.8039 0.8040 0.5883  3 O 2.02
Ir 0.3233 0.3233 0.0300  6 O 2.00-2.03
O 0.6062 0.2214 0.2381  1 Ir 2.00, 2 Mn 2.03-2.06
O 0.2214 0.9342 0.2382  1 Ir 2.00, 2 Mn 2.03-2.06
O 0.9343 0.6061 0.2383  1 Ir 2.00, 2 Mn 2.03-2.06
O 0.4004 0.7253 0.7602  2 Mn 2.02-2.22, 1 Cu 2.02, 1 Ir 2.03
O 0.7252 0.1140 0.7603  2 Mn 2.02-2.22, 1 Cu 2.02, 1 Ir 2.03
O 0.1142 0.4005 0.7602  2 Mn 2.02-2.22, 1 Cu 2.02, 1 Ir 2.03

D(E_F): 0.5563 states/eV per atom
Final energy: -68.3 eV for the cell shown
V: 10.93 A^3/atom

---

5.
Density functional theory data (PBE with a Hubbard U) for an optimized crystal structure of MnCuIrO2.

abc: 3.7481 5.8887 3.7481
angles: 90.00 90.00 90.00
Last column: nearest neighbours and their distance in Å.
Positions (direct):
Mn 0.0000 0.5000 0.0000  4 Cu 2.65, 2 Ir 2.94
Ir 0.0000 0.0000 0.0000  4 O 1.87
O 0.0000 0.0000 0.5000  2 Ir 1.87
O 0.5000 0.0000 0.0000  2 Ir 1.87
Cu 0.5000 0.5000 0.5000  4 Mn 2.65

D(E_F): 0.5904 states/eV per atom
Final energy: -30.1 eV for the cell shown
V: 16.55 A^3/atom

---

6.
Density functional theory data (PBE with a Hubbard U) for an optimized crystal structure of Mn2CuIrO.

abc: 4.7114 4.4475 4.7114
angles: 90.00 90.00 90.00
Last column: nearest neighbours and their distance in Å.
Positions (direct):
Mn 0.0000 0.0000 0.5000  2 Cu 2.36
Mn 0.5000 0.0000 0.0000  2 Cu 2.36
Ir 0.0000 0.5000 0.0000  2 Cu 2.22
O 0.5000 0.5000 0.5000  8 Mn 3.24, 4 Ir 3.33
Cu 0.0000 0.0000 0.0000  2 Ir 2.22, 4 Mn 2.36

D(E_F): 0.6394 states/eV per atom
Final energy: -26.8 eV for the cell shown
V: 19.74 A^3/atom

---

7.
Density functional theory data (PBE with a Hubbard U) for an optimized crystal structure of MnCuIrO6.

abc: 5.0071 5.0071 8.7411
angles: 90.00 90.00 120.00
Last column: nearest neighbours and their distance in Å.
Positions (direct):
Mn 0.3333 0.6667 0.2500  6 O 1.93
Mn 0.6667 0.3333 0.7500  6 O 1.93
Cu 0.0000 0.0000 0.0000  6 O 2.09
Cu 0.0000 0.0000 0.5000  6 O 2.09
Ir 0.6667 0.3333 0.2500  6 O 1.95
Ir 0.3333 0.6667 0.7500  6 O 1.95
O 0.6467 0.6491 0.1289  1 Mn 1.93, 1 Ir 1.95, 1 Cu 2.09
O 0.0024 0.3533 0.1289  1 Mn 1.93, 1 Ir 1.95, 1 Cu 2.09
O 0.3533 0.0024 0.6289  1 Mn 1.93, 1 Ir 1.95, 1 Cu 2.09
O 0.9976 0.6467 0.8711  1 Mn 1.93, 1 Ir 1.95, 1 Cu 2.09
O 0.3509 0.3533 0.3711  1 Mn 1.93, 1 Ir 1.95, 1 Cu 2.09
O 0.0024 0.6491 0.3711  1 Mn 1.93, 1 Ir 1.95, 1 Cu 2.09
O 0.6491 0.0024 0.8711  1 Mn 1.93, 1 Ir 1.95, 1 Cu 2.09
O 0.6467 0.9976 0.3711  1 Mn 1.93, 1 Ir 1.95, 1 Cu 2.09
O 0.9976 0.3509 0.6289  1 Mn 1.93, 1 Ir 1.95, 1 Cu 2.09
O 0.3509 0.9976 0.1289  1 Mn 1.93, 1 Ir 1.95, 1 Cu 2.09
O 0.6491 0.6467 0.6289  1 Mn 1.93, 1 Ir 1.95, 1 Cu 2.09
O 0.3533 0.3509 0.8711  1 Mn 1.93, 1 Ir 1.95, 1 Cu 2.09

D(E_F): 0.6940 states/eV per atom
Final energy: -114.2 eV for the cell shown
V: 10.54 A^3/atom